Entry 1:
# CaPrCuBi PBE optimized geometry
data_CaPrCuBi
_chemical_formula_sum 'Ca4 Pr4 Cu4 Bi4'
_symmetry_space_group_name_H-M 'F -4 3 m'
_symmetry_Int_Tables_number 216
_symmetry_space_group_name_Hall 'F -4 2 3'
_cell_length_a 7.6152
_cell_length_b 7.6152
_cell_length_c 7.6152
_cell_angle_alpha 90.00
_cell_angle_beta 90.00
_cell_angle_gamma 90.00
loop_
_atom_site_label
_atom_site_type_symbol
_atom_site_fract_x
_atom_site_fract_y
_atom_site_fract_z
Ca1 Ca 0.0000 0.0000 0.0000
Pr1 Pr 0.0000 0.0000 0.5000
Cu1 Cu 0.2500 0.2500 0.7500
Bi1 Bi 0.2500 0.2500 0.2500
# DFT formation energy, eV per atom: -0.3804

Entry 2:
# YTm2TaO8 PBE optimized geometry
data_YTm2TaO8
_chemical_formula_sum 'Y1 Tm2 Ta1 O8'
_symmetry_space_group_name_H-M 'P 1 2/m 1'
_symmetry_Int_Tables_number 10
_cell_length_a 5.0318
_cell_length_b 6.8106
_cell_length_c 5.0360
_cell_angle_alpha 90.00
_cell_angle_beta 90.45
_cell_angle_gamma 90.00
loop_
_symmetry_equiv_pos_as_xyz
'x,y,z'
'-x,-y,-z'
'-x,y,-z'
'x,-y,z'
loop_
_atom_site_label
_atom_site_type_symbol
_atom_site_fract_x
_atom_site_fract_y
_atom_site_fract_z
Y1 Y 0.0000 0.0000 0.0000
Tm1 Tm 0.5000 0.2515 0.5000
Ta1 Ta 0.0000 0.5000 0.0000
O1 O 0.1873 0.2812 0.8113
O2 O 0.2837 0.5000 0.2822
O3 O 0.3118 0.0000 0.3101
# Energy relative to the elements, uncorrected, eV per formula unit: -35.27

What did the second record say?
# YTm2TaO8 PBE optimized geometry
data_YTm2TaO8
_chemical_formula_sum 'Y1 Tm2 Ta1 O8'
_symmetry_space_group_name_H-M 'P 1 2/m 1'
_symmetry_Int_Tables_number 10
_cell_length_a 5.0318
_cell_length_b 6.8106
_cell_length_c 5.0360
_cell_angle_alpha 90.00
_cell_angle_beta 90.45
_cell_angle_gamma 90.00
loop_
_symmetry_equiv_pos_as_xyz
'x,y,z'
'-x,-y,-z'
'-x,y,-z'
'x,-y,z'
loop_
_atom_site_label
_atom_site_type_symbol
_atom_site_fract_x
_atom_site_fract_y
_atom_site_fract_z
Y1 Y 0.0000 0.0000 0.0000
Tm1 Tm 0.5000 0.2515 0.5000
Ta1 Ta 0.0000 0.5000 0.0000
O1 O 0.1873 0.2812 0.8113
O2 O 0.2837 0.5000 0.2822
O3 O 0.3118 0.0000 0.3101
# Energy relative to the elements, uncorrected, eV per formula unit: -35.27

Q: Number 1 is which compound?
A: CaPrCuBi